9
Lattice="-3.4187 3.6269 7.0396 3.4187 -3.6269 7.0396 3.4187 3.6269 -7.0396" Properties=species:S:1:pos:R:3 comment="K4In4Ga PBE-GGA relaxed" ef_ev_per_atom=-0.106 magnetic_moment_mub_per_cell=0.00 dos_ef_per_ev_cell=3.43 e_tot_ev_per_cell=-19.33 pbc="T T T"
K 5.3796 1.1189 -2.1665
K 1.9609 2.5080 9.2061
K 1.4578 1.1189 2.1665
K -1.9609 2.5080 4.8731
In 2.3264 2.5537 -1.1918
In 1.0923 -1.0732 8.2315
In 1.0923 1.0732 5.8478
In 2.3264 4.7001 1.1918
Ga 0.0000 3.6269 0.0000